DFT (PBE+U) results for an optimized crystal structure of MgFe6O4F8.

Unit cell a=5.147 b=6.016 c=8.044 alpha=103.40 beta=91.55 gamma=107.41
Last column: magnetic moment on the atom in μB.
Element x y z (fractional)
Mg 0.497 0.933 0.808  0.01
Fe 0.497 0.438 0.885  3.73
Fe 0.020 0.504 0.642  3.78
Fe 0.016 0.711 0.333  4.36
Fe 0.488 0.297 0.180  3.77
Fe 0.485 0.065 0.478  3.79
Fe 0.004 0.888 0.032  3.38
O 0.243 0.977 0.250  0.11
O 0.230 0.792 0.568  0.17
O 0.274 0.127 0.943  -0.04
O 0.770 0.597 0.104  0.06
F 0.735 0.222 0.730  0.04
F 0.747 0.393 0.411  0.06
F 0.767 0.896 0.430  0.09
F 0.727 0.064 0.049  0.05
F 0.752 0.726 0.786  0.03
F 0.236 0.656 0.891  0.05
F 0.224 0.482 0.254  0.10
F 0.305 0.314 0.627  0.06

## Properties
polymorph energy (0 for the lowest one)	42	meV per atom
space group	P1, No. 1